# Lu2MgPd | the Alexandria database | GGA-PBE | relaxed
# Energy above the most stable polymorph in this dataset = 0.000 eV per atom
# Electronic total energy = -4.466 eV per atom
# ΔH_f (0 K) = -0.509 eV per atom
# Magnetic moment = 0.00 μB/cell
data_Lu2MgPd
_chemical_formula_sum 'Lu2 Mg1 Pd1'
_cell_length_a 3.5097
_cell_length_b 3.5097
_cell_length_c 7.5422
_cell_angle_alpha 90.00
_cell_angle_beta 90.00
_cell_angle_gamma 90.00
_symmetry_space_group_name_H-M 'P 4/m m m'
_symmetry_Int_Tables_number 123
_symmetry_space_group_name_Hall '-P 4 2'
loop_
_atom_site_label
_atom_site_fract_x
_atom_site_fract_y
_atom_site_fract_z
Lu1 0.0000 0.0000 0.2154
Mg1 0.5000 0.5000 0.5000
Pd1 0.5000 0.5000 0.0000